Model A:
Li5MgAu | PBE | optimized geometry

Structure (POSCAR):
```
Li5MgAu
1.0
0.301 -3.590 1.810
2.554 1.573 2.694
-6.428 1.957 4.951
Li Au Mg
5 1 1
Direct
0.000 0.500 0.273
0.500 0.000 0.727
0.000 0.000 0.500
0.000 0.500 0.727
0.500 0.000 0.273
0.500 0.500 0.500
0.000 0.000 0.000
```

## Properties
As for the theoretical density: 3.133 g/cm³.


Model B:
Li5MgAu | PBE | optimized geometry

Structure (POSCAR):
```
Li5MgAu
1.0
-4.137 2.825 0.768
-3.347 -3.444 -1.619
-1.702 -3.699 9.149
Li Mg Au
10 2 2
Direct
0.083 0.917 0.250
0.449 0.135 0.884
0.464 0.195 0.582
0.551 0.865 0.116
0.805 0.536 0.918
0.135 0.449 0.384
0.195 0.464 0.082
0.536 0.805 0.418
0.917 0.083 0.750
0.865 0.551 0.616
0.327 0.673 0.750
0.673 0.327 0.250
0.000 0.000 0.500
0.000 0.000 0.000
```

## Properties
As for the theoretical density: 3.342 g/cm³.


Quick look at relative energies in meV/atom: model A 38; model B 0.


Model A:
Li4Mg3Au | PBE | optimized geometry

Structure (POSCAR):
```
Li4Mg3Au
1.0
3.899 0.000 0.000
0.000 4.207 -1.320
-1.949 -3.733 10.387
Li Mg Au
4 3 1
Direct
0.378 0.134 0.757
0.247 0.241 0.494
0.753 0.759 0.506
0.622 0.866 0.243
0.121 0.366 0.243
0.000 0.500 0.000
0.879 0.634 0.757
0.500 0.000 0.000
```

## Properties
As for the theoretical density: 3.270 g/cm³.


Model B:
Li4Mg3Au | PBE | optimized geometry

Structure (POSCAR):
```
Li4Mg3Au
1.0
-4.155 0.876 0.288
-0.796 -4.067 0.971
3.400 3.327 7.356
Au Li Mg
1 4 3
Direct
0.500 0.000 0.000
0.615 0.614 0.230
0.114 0.115 0.230
0.886 0.885 0.770
0.385 0.386 0.770
0.751 0.251 0.502
0.000 0.500 0.000
0.249 0.749 0.498
```

## Properties
As for the theoretical density: 3.318 g/cm³.


Quick look at relative energies in meV/atom: model A 0; model B 14.


Model A:
LiMgAu6 | PBE | optimized geometry

Structure (POSCAR):
```
LiMgAu6
1.0
-1.817 -3.644 0.625
1.048 0.159 3.980
-7.038 3.802 1.701
Au Li Mg
6 1 1
Direct
0.000 0.500 0.254
0.500 0.500 0.000
0.000 0.500 0.746
0.500 0.500 0.500
0.500 0.000 0.254
0.500 0.000 0.746
0.000 0.000 0.500
0.000 0.000 0.000
```

## Properties
As for the theoretical density: 14.516 g/cm³.


Model B:
LiMgAu6 | PBE | optimized geometry

Structure (POSCAR):
```
LiMgAu6
1.0
-3.597 -3.069 1.134
3.575 -2.932 3.405
-3.045 4.365 2.155
Mg Au Li
1 6 1
Direct
0.500 0.416 0.584
0.000 0.583 0.914
0.000 0.583 0.417
0.500 0.412 0.082
0.000 0.086 0.417
0.500 0.918 0.082
0.500 0.918 0.588
0.000 0.083 0.917
```

## Properties
As for the theoretical density: 14.469 g/cm³.


Quick look at relative energies in meV/atom: model A 0; model B 6.